Computed, not measured: Ca3Al2Ge2 after structural relaxation at the PBE level of DFT.

Output
- mass density (Mg/m³) = 3.024
- energy relative to the elements (kJ per mole of atoms) = -51
- energy above the most stable polymorph in this dataset (kJ per mole of atoms) = 0.0
- VASP energy (eV per atom) = -3.7718
- N(E_F) (states/eV per cell) = 2.08

The structure in extended XYZ format:
```
7
Lattice="-6.396 -4.957 5.557 -1.533 -3.517 9.036 2.374 6.794 -6.675" Properties=species:S:1:pos:R:3 pbc="T T T"
Ge -3.170 -0.320 1.573
Ca 0.000 0.000 0.000
Ca -1.052 0.065 3.890
Al -3.425 -3.660 6.304
Al -4.504 -4.813 8.289
Ca -4.503 -1.744 4.027
Ge -2.385 -1.360 6.344
```